No. 1
Entry from the Alexandria database: a geometry-optimized ScZnBr2 structure (GGA-PBE).

Calculated values
* uncorrected energy: -43.72 eV per cell
* mass density: 3.39 g/cm3
* total moment: 0.000 μB/atom
* formation energy without anion corrections: -0.9052 eV per atom
* V: 33.1 A^3/atom
* Fermi-level density of states: 0.72 states/eV/atom

abc: 3.7030 3.7030 33.4297
angles: 90.00 90.00 120.00
Space group R-3m (No. 166, hexagonal axes)
One atom of each set of equivalent atoms:
Sc 0.0000 0.0000 0.0000 [3 per cell]
Zn 0.0000 0.0000 0.5000 [3 per cell]
Br 0.0000 0.0000 0.3840 [6 per cell]

=====

No. 2
Entry from the Alexandria database: a geometry-optimized LiCeScCr structure (GGA-PBE).

Calculated values
* uncorrected energy: -91.32 eV per cell
* mass density: 4.89 g/cm3
* energy relative to the elements: 23 kJ per mole of atoms
* total moment: 0.433 μB/atom
* V: 20.7 A^3/atom
* Fermi-level density of states: 1.83 states/eV/atom

abc: 6.9198 6.9198 6.9198
angles: 90.00 90.00 90.00
Space group F-43m (No. 216)
One atom of each set of equivalent atoms:
Li 0.0000 0.0000 0.0000 [4 per cell]
Ce 0.2500 0.2500 0.2500 [4 per cell]
Sc 0.2500 0.2500 0.7500 [4 per cell]
Cr 0.0000 0.0000 0.5000 [4 per cell]

=====

No. 3
Entry from the Alexandria database: a geometry-optimized SbBr3Cl structure (GGA-PBE).

Calculated values
* uncorrected energy: -8.15 eV per cell
* mass density: 4.21 g/cm3
* total moment: 0.393 μB/atom
* formation energy without anion corrections: 0.5674 eV per atom
* V: 31.3 A^3/atom
* Fermi-level density of states: 1.16 states/eV/atom

abc: 5.3893 5.3893 5.3893
angles: 90.00 90.00 90.00
Space group Pm-3m (No. 221)
One atom of each set of equivalent atoms:
Sb 0.0000 0.0000 0.0000 [1 per cell]
Br 0.0000 0.5000 0.5000 [3 per cell]
Cl 0.5000 0.5000 0.5000 [1 per cell]

=====

No. 4
Entry from the Alexandria database: a geometry-optimized Np4Te3As structure (GGA-PBE).

Calculated values
* uncorrected energy: -141.19 eV per cell
* mass density: 10.18 g/cm3
* total moment: 2.215 μB/atom
* formation energy without anion corrections: -0.5947 eV per atom
* V: 28.7 A^3/atom
* Fermi-level density of states: 4.72 states/eV/atom

abc: 8.6715 12.2438 4.3202
angles: 90.00 90.00 90.00
Space group Cmmm (No. 65)
One atom of each set of equivalent atoms:
Np 0.0000 0.2396 0.0000 [4 per cell]
Np 0.2303 0.0000 0.5000 [4 per cell]
Te 0.0000 0.5000 0.0000 [2 per cell]
Te 0.2500 0.2500 0.5000 [4 per cell]
As 0.0000 0.0000 0.0000 [2 per cell]

=====

No. 5
Entry from the Alexandria database: a geometry-optimized LiHoThRh structure (GGA-PBE).

Calculated values
* uncorrected energy: -90.75 eV per cell
* mass density: 9.41 g/cm3
* energy relative to the elements: -34 kJ per mole of atoms
* total moment: 0.000 μB/atom
* V: 22.3 A^3/atom
* Fermi-level density of states: 1.06 states/eV/atom

abc: 7.0977 7.0977 7.0977
angles: 90.00 90.00 90.00
Space group F-43m (No. 216)
One atom of each set of equivalent atoms:
Li 0.0000 0.0000 0.0000 [4 per cell]
Ho 0.2500 0.2500 0.7500 [4 per cell]
Th 0.2500 0.2500 0.2500 [4 per cell]
Rh 0.0000 0.0000 0.5000 [4 per cell]

=====

No. 6
Entry from the Alexandria database: a geometry-optimized Li3CaCd structure (GGA-PBE).

Calculated values
* uncorrected energy: -18.23 eV per cell
* mass density: 2.32 g/cm3
* energy relative to the elements: -9 kJ per mole of atoms
* total moment: 0.000 μB/atom
* V: 24.8 A^3/atom
* Fermi-level density of states: 0.50 states/eV/atom

abc: 4.3368 4.3368 13.1867
angles: 90.00 90.00 90.00
Space group I4mm (No. 107)
One atom of each set of equivalent atoms:
Li 0.0000 0.0000 0.0000 [2 per cell]
Li 0.0000 0.5000 0.1491 [4 per cell]
Ca 0.0000 0.0000 0.3850 [2 per cell]
Cd 0.0000 0.0000 0.7900 [2 per cell]

=====

No. 7
Entry from the Alexandria database: a geometry-optimized DyEr6Mg structure (GGA-PBE).

Calculated values
* uncorrected energy: -66.64 eV per cell
* mass density: 8.29 g/cm3
* energy relative to the elements: 3 kJ per mole of atoms
* total moment: 0.000 μB/atom
* V: 29.8 A^3/atom
* Fermi-level density of states: 1.58 states/eV/atom

abc: 10.9678 4.9558 9.8038
angles: 90.00 116.52 90.00
Space group C2/m (No. 12)
One atom of each set of equivalent atoms:
Dy 0.0000 0.0000 0.0000 [2 per cell]
Er 0.0015 0.5000 0.7494 [4 per cell]
Er 0.2462 0.0000 0.3759 [4 per cell]
Er 0.2499 0.0000 0.8732 [4 per cell]
Mg 0.0000 0.0000 0.5000 [2 per cell]

=====

No. 8
Entry from the Alexandria database: a geometry-optimized CaPW4 structure (GGA-PBE).

Calculated values
* uncorrected energy: -217.24 eV per cell
* mass density: 12.02 g/cm3
* energy relative to the elements: 79 kJ per mole of atoms
* total moment: 0.000 μB/atom
* V: 18.6 A^3/atom
* Fermi-level density of states: 0.75 states/eV/atom

abc: 7.6391 7.6391 7.6391
angles: 90.00 90.00 90.00
Space group F-43m (No. 216)
One atom of each set of equivalent atoms:
Ca 0.0000 0.0000 0.0000 [4 per cell]
P 0.2500 0.2500 0.7500 [4 per cell]
W 0.1252 0.1252 0.3748 [16 per cell]